Computed, not measured: a relaxed structure of U2Se2S at the PBE-GGA level of DFT.

Properties
* total energy: -39.5 eV for the cell shown
* D(E_F): 2.92 states/eV per atom
* total moment: 5.70 μB per formula unit
* space-group type: No. 71
* raw formation energy: -1.17 eV per atom
* ΔE to the lowest computed polymorph: 0.031 eV/atom

abc: 3.8979 5.6865 7.0152
angles: 113.91 106.13 90.00
Last column: nearest neighbours and their distance in Å.
Fractional positions:
U  0.6585  0.1585  0.3170  2 S 2.75, 4 Se 2.85-2.89
U  0.3415  0.8415  0.6830  2 S 2.75, 4 Se 2.85-2.89
Se  0.6672  0.6672  0.3344  4 U 2.85-2.89
Se  0.3328  0.3328  0.6656  4 U 2.85-2.89
S  0.0000  0.0000  0.0000  4 U 2.75